(1)
PBE PuMn2Co, optimized geometry; energy relative to the elements = 0.345 eV per atom; VASP energy = -38.4 eV/f.u.; energy relative to the lowest polymorph listed for this composition = 1.35 eV per formula unit
1.0
0.0000 3.0149 3.0149
3.0149 0.0000 3.0149
3.0149 3.0149 0.0000
Pu Mn Co
1 2 1
Cartesian
0.0000 0.0000 0.0000 Pu
1.5075 1.5075 1.5075 Mn
4.5224 4.5224 4.5224 Mn
3.0149 3.0149 3.0149 Co



(2)
PBE Pu2Mn3Co, optimized geometry; energy relative to the elements = -0.057 eV per atom; VASP energy = -63.6 eV/f.u.
1.0
2.6517 1.5310 3.8434
-2.6517 1.5310 3.8434
0.0000 -3.0620 3.8434
Pu Mn Co
2 3 1
Cartesian
0.0000 0.0000 1.4790 Pu
0.0000 0.0000 10.0512 Pu
-1.3259 -0.7655 3.8434 Mn
-1.3259 0.7655 7.6868 Mn
0.0000 1.5310 3.8434 Mn
0.0000 0.0000 5.7651 Co



(3)
PBE PuMnCo2, optimized geometry; energy relative to the elements = 0.150 eV per atom; VASP energy = -37.1 eV/f.u.; energy relative to the lowest polymorph listed for this composition = 0.68 eV per formula unit
1.0
2.8967 0.0000 0.0000
0.0000 2.8967 0.0000
0.0000 0.0000 6.6905
Pu Mn Co
1 1 2
Cartesian
0.0000 0.0000 0.0000 Pu
0.0000 0.0000 3.3452 Mn
1.4484 1.4484 2.0160 Co
1.4484 1.4484 4.6745 Co



(4)
PBE PuMnCo2, optimized geometry; energy relative to the elements = 0.063 eV per atom; VASP energy = -37.5 eV/f.u.; energy relative to the lowest polymorph listed for this composition = 0.33 eV per formula unit
1.0
0.0000 3.0863 3.0863
3.0863 0.0000 3.0863
3.0863 3.0863 0.0000
Pu Mn Co
1 1 2
Cartesian
0.0000 0.0000 0.0000 Pu
3.0863 3.0863 3.0863 Mn
1.5432 1.5432 1.5432 Co
4.6295 4.6295 4.6295 Co



(5)
PBE Pu3Mn2Co7, optimized geometry; energy relative to the elements = -0.105 eV per atom; VASP energy = -112.3 eV/f.u.
1.0
2.4944 1.4402 8.0556
-2.4944 1.4402 8.0556
0.0000 -2.8803 8.0556
Pu Mn Co
3 2 7
Cartesian
0.0000 0.0000 0.0000 Pu
0.0000 0.0000 3.3708 Pu
0.0000 0.0000 20.7960 Pu
0.0000 0.0000 8.0625 Mn
0.0000 0.0000 16.1043 Mn
-1.2539 -0.7240 10.1002 Co
0.0000 -1.4479 14.0666 Co
-1.2539 0.7240 14.0666 Co
0.0000 0.0000 12.0834 Co
1.2539 -0.7240 10.1002 Co
0.0000 1.4479 10.1002 Co
1.2539 0.7240 14.0666 Co



(6)
PBE Pu2MnCo, optimized geometry; energy relative to the elements = 0.506 eV per atom; VASP energy = -42.9 eV/f.u.
1.0
2.5121 0.0000 0.0000
0.0000 2.5121 0.0000
0.0000 0.0000 9.1089
Pu Mn Co
2 1 1
Cartesian
0.0000 0.0000 2.2006 Pu
0.0000 0.0000 6.9083 Pu
1.2560 1.2560 4.5545 Mn
1.2560 1.2560 0.0000 Co



(7)
PBE PuMn2Co9, optimized geometry; energy relative to the elements = 0.096 eV per atom; VASP energy = -95.5 eV/f.u.
1.0
2.3913 1.3806 7.8300
-2.3913 1.3806 7.8300
0.0000 -2.7613 7.8300
Pu Mn Co
1 2 9
Cartesian
0.0000 0.0000 0.0000 Pu
0.0000 0.0000 3.3996 Mn
0.0000 0.0000 20.0903 Mn
-1.2250 -0.7073 9.8724 Co
0.0000 0.0000 7.8896 Co
0.0000 -1.4145 13.6175 Co
-1.2250 0.7073 13.6175 Co
0.0000 0.0000 11.7450 Co
1.2250 -0.7073 9.8724 Co
0.0000 1.4145 9.8724 Co
0.0000 0.0000 15.6003 Co
1.2250 0.7073 13.6175 Co



(8)
PBE PuMnCo2, optimized geometry; energy relative to the elements = -0.020 eV per atom; VASP energy = -37.8 eV/f.u.; energy relative to the lowest polymorph listed for this composition = 0.00 eV per formula unit
1.0
3.9418 0.0000 0.0000
0.0000 3.9418 0.0000
0.0000 0.0000 3.6536
Pu Mn Co
1 1 2
Cartesian
0.0000 0.0000 0.0000 Pu
1.9709 1.9709 0.0000 Mn
0.0000 1.9709 1.8268 Co
1.9709 0.0000 1.8268 Co



(9)
PBE PuMn2Co, optimized geometry; energy relative to the elements = 0.309 eV per atom; VASP energy = -38.5 eV/f.u.; energy relative to the lowest polymorph listed for this composition = 1.21 eV per formula unit
1.0
2.4789 0.0000 0.0000
0.0000 2.4789 0.0000
0.0000 0.0000 8.2468
Pu Mn Co
1 2 1
Cartesian
0.0000 0.0000 0.0000 Pu
1.2395 1.2395 2.4069 Mn
1.2395 1.2395 5.8399 Mn
0.0000 0.0000 4.1234 Co



(10)
PBE PuMnCoRh, optimized geometry; energy relative to the elements = -0.007 eV per atom; VASP energy = -38.0 eV/f.u.
1.0
0.0000 3.1934 3.1934
3.1934 0.0000 3.1934
3.1934 3.1934 0.0000
Pu Mn Co Rh
1 1 1 1
Cartesian
0.0000 0.0000 0.0000 Pu
3.1934 3.1934 3.1934 Mn
4.7900 4.7900 4.7900 Co
1.5967 1.5967 1.5967 Rh



(11)
PBE PuMnCoRu, optimized geometry; energy relative to the elements = 0.090 eV per atom; VASP energy = -39.5 eV/f.u.
1.0
0.0000 3.1614 3.1614
3.1614 0.0000 3.1614
3.1614 3.1614 0.0000
Pu Mn Co Ru
1 1 1 1
Cartesian
0.0000 0.0000 0.0000 Pu
3.1614 3.1614 3.1614 Mn
4.7421 4.7421 4.7421 Co
1.5807 1.5807 1.5807 Ru



(12)
PBE PuMnCoSn, optimized geometry; energy relative to the elements = -0.100 eV per atom; VASP energy = -35.0 eV/f.u.
1.0
0.0000 3.2736 3.2736
3.2736 0.0000 3.2736
3.2736 3.2736 0.0000
Pu Mn Co Sn
1 1 1 1
Cartesian
0.0000 0.0000 0.0000 Pu
1.6368 1.6368 1.6368 Mn
4.9104 4.9104 4.9104 Co
3.2736 3.2736 3.2736 Sn



(13)
PBE PuUMnCo, optimized geometry; energy relative to the elements = -0.115 eV per atom; VASP energy = -42.4 eV/f.u.
1.0
0.0000 3.1417 3.1417
3.1417 0.0000 3.1417
3.1417 3.1417 0.0000
Pu U Mn Co
1 1 1 1
Cartesian
0.0000 0.0000 0.0000 Pu
1.5709 1.5709 1.5709 U
3.1417 3.1417 3.1417 Mn
4.7126 4.7126 4.7126 Co



(14)
PBE YPuMnCo, optimized geometry; energy relative to the elements = 0.066 eV per atom; VASP energy = -36.8 eV/f.u.
1.0
0.0000 3.3725 3.3725
3.3725 0.0000 3.3725
3.3725 3.3725 0.0000
Y Pu Mn Co
1 1 1 1
Cartesian
0.0000 0.0000 0.0000 Y
3.3725 3.3725 3.3725 Pu
1.6863 1.6863 1.6863 Mn
5.0588 5.0588 5.0588 Co



(15)
PBE PuMnZnCo, optimized geometry; energy relative to the elements = -0.007 eV per atom; VASP energy = -31.9 eV/f.u.
1.0
0.0000 3.1194 3.1194
3.1194 0.0000 3.1194
3.1194 3.1194 0.0000
Pu Mn Zn Co
1 1 1 1
Cartesian
0.0000 0.0000 0.0000 Pu
4.6790 4.6790 4.6790 Mn
3.1194 3.1194 3.1194 Zn
1.5597 1.5597 1.5597 Co



(16)
PBE RbMn2Co, optimized geometry; energy relative to the elements = 2.060 eV per atom; VASP energy = -18.2 eV/f.u.; energy relative to the lowest polymorph listed for this composition = 3.77 eV per formula unit
1.0
0.0000 3.0753 3.0753
3.0753 0.0000 3.0753
3.0753 3.0753 0.0000
Rb Mn Co
1 2 1
Cartesian
0.0000 0.0000 0.0000 Rb
1.5377 1.5377 1.5377 Mn
4.6130 4.6130 4.6130 Mn
3.0753 3.0753 3.0753 Co



(17)
PBE RbMn2Co, optimized geometry; energy relative to the elements = 1.118 eV per atom; VASP energy = -21.9 eV/f.u.; energy relative to the lowest polymorph listed for this composition = 0.00 eV per formula unit
1.0
-2.9375 2.9375 6.9125
2.9375 -2.9375 6.9125
2.9375 2.9375 -6.9125
Rb Mn Co
2 4 2
Cartesian
2.9375 1.4688 1.7281 Rb
0.0000 1.4688 5.1843 Rb
0.0000 0.0000 0.0000 Mn
1.4688 1.4688 -3.4562 Mn
1.4688 -1.4688 3.4562 Mn
0.0000 2.9375 0.0000 Mn
2.9375 -1.4688 5.1843 Co
0.0000 4.4063 1.7281 Co



(18)
PBE Rb2MnCoS4, optimized geometry; VASP energy = -41.4 eV/f.u.
1.0
0.0000 6.7946 11.9007
2.6432 0.0000 11.9007
2.6432 6.7946 0.0000
Rb Mn Co S
4 2 2 8
Cartesian
1.9824 5.0960 1.2387 Rb
3.3040 8.4933 7.1891 Rb
1.9824 5.0960 16.6123 Rb
3.3040 8.4933 22.5627 Rb
0.6608 1.6987 2.9752 Mn
4.6256 11.8906 20.8262 Mn
1.9824 5.0960 8.9255 Co
3.3040 8.4933 14.8759 Co
1.9604 2.9486 4.1990 S
3.3261 6.3459 10.1494 S
2.0044 7.2433 4.1990 S
2.0044 2.9486 13.6520 S
3.2820 10.6406 10.1494 S
3.2820 6.3459 19.6024 S
1.9604 7.2433 13.6520 S
3.3261 10.6406 19.6024 S



(19)
PBE RbMnCoS3, optimized geometry; VASP energy = -33.7 eV/f.u.
1.0
8.4456 0.0000 0.0000
0.0000 3.5358 0.0000
-4.0333 0.0000 8.2824
Rb Mn Co S
2 2 2 6
Cartesian
0.9433 0.8839 2.1415 Rb
3.4690 2.6518 6.1410 Rb
-0.7501 2.6518 7.0350 Mn
5.1624 0.8839 1.2475 Mn
-1.7622 0.8839 5.0285 Co
6.1745 2.6518 3.2539 Co
-2.3215 0.8839 7.1538 S
-0.5430 2.6518 4.6535 S
3.5533 2.6518 1.1206 S
0.8590 0.8839 7.1619 S
4.9553 0.8839 3.6290 S
6.7339 2.6518 1.1287 S



(20)
PBE RbScMn2Co, optimized geometry; energy relative to the elements = 2.763 eV per atom; VASP energy = -18.9 eV/f.u.
1.0
4.3381 0.0000 0.0000
0.0000 4.3381 0.0000
0.0000 0.0000 4.8146
Rb Sc Mn Co
1 1 2 1
Cartesian
0.0000 0.0000 0.0000 Rb
0.0000 0.0000 2.4073 Sc
0.0000 2.1690 0.0000 Mn
2.1690 0.0000 0.0000 Mn
2.1690 2.1690 2.4073 Co



(21)
PBE RbMnCoSn2, optimized geometry; energy relative to the elements = 0.665 eV per atom; VASP energy = -21.9 eV/f.u.
1.0
4.9285 0.0000 0.0000
0.0000 4.9285 0.0000
0.0000 0.0000 5.6432
Rb Mn Co Sn
1 1 1 2
Cartesian
0.0000 0.0000 0.0000 Rb
2.4643 2.4643 0.0000 Mn
0.0000 0.0000 2.8216 Co
0.0000 2.4643 2.8216 Sn
2.4643 0.0000 2.8216 Sn



(22)
PBE Rb2SrMnCo, optimized geometry; energy relative to the elements = 0.961 eV per atom; VASP energy = -15.1 eV/f.u.
1.0
6.6736 0.0000 0.0000
0.0000 6.6736 0.0000
0.0000 0.0000 4.6872
Rb Sr Mn Co
2 1 1 1
Cartesian
0.0000 3.3368 0.0000 Rb
3.3368 0.0000 0.0000 Rb
0.0000 0.0000 2.3436 Sr
3.3368 3.3368 2.3436 Mn
3.3368 3.3368 0.0000 Co



(23)
PBE Mn8CoRe3, optimized geometry; energy relative to the elements = 0.007 eV per atom; VASP energy = -117.7 eV/f.u.
1.0
2.3218 1.3405 7.5854
-2.3218 1.3405 7.5854
0.0000 -2.6809 7.5854
Mn Co Re
8 1 3
Cartesian
0.0000 0.0000 0.0000 Mn
-1.1782 -0.6802 13.2751 Mn
0.0000 -1.3319 9.5224 Mn
-1.1534 0.6659 9.5224 Mn
0.0000 0.0000 11.3713 Mn
1.1534 0.6659 9.5224 Mn
1.1782 -0.6802 13.2751 Mn
0.0000 1.3604 13.2751 Mn
0.0000 0.0000 18.5288 Co
0.0000 0.0000 4.2568 Re
0.0000 0.0000 7.1219 Re
0.0000 0.0000 15.6993 Re



(24)
PBE Mn2CoRe2, optimized geometry; energy relative to the elements = 0.298 eV per atom; VASP energy = -48.9 eV/f.u.; energy relative to the lowest polymorph listed for this composition = 0.00 eV per formula unit
1.0
6.8594 0.0000 0.0000
0.0000 6.8594 0.0000
0.0000 0.0000 2.7713
Mn Co Re
4 2 4
Cartesian
0.9031 2.5265 0.0000 Mn
2.5265 5.9562 0.0000 Mn
4.3328 0.9031 0.0000 Mn
5.9562 4.3328 0.0000 Mn
0.0000 0.0000 0.0000 Co
3.4297 3.4297 0.0000 Co
1.1554 4.5850 1.3856 Re
2.2743 1.1554 1.3856 Re
4.5850 5.7040 1.3856 Re
5.7040 2.2743 1.3856 Re



(25)
PBE MnCo3Re, optimized geometry; energy relative to the elements = 1.438 eV per atom; VASP energy = -35.7 eV/f.u.; energy relative to the lowest polymorph listed for this composition = 0.00 eV per formula unit
1.0
4.4234 0.0000 0.0000
0.0000 4.4234 0.0000
0.0000 0.0000 4.4234
Mn Co Re
1 3 1
Cartesian
0.0000 0.0000 0.0000 Mn
0.0000 2.2117 2.2117 Co
2.2117 0.0000 2.2117 Co
2.2117 2.2117 0.0000 Co
2.2117 2.2117 2.2117 Re



(26)
PBE MnCoRe2, optimized geometry; energy relative to the elements = 0.032 eV per atom; VASP energy = -41.0 eV/f.u.; energy relative to the lowest polymorph listed for this composition = 0.20 eV per formula unit
1.0
-1.8780 1.8780 3.7009
1.8780 -1.8780 3.7009
1.8780 1.8780 -3.7009
Mn Co Re
1 1 2
Cartesian
0.0000 0.0000 0.0000 Mn
1.8780 0.0000 1.8504 Co
0.0000 0.0000 3.7009 Re
0.0000 1.8780 1.8504 Re



(27)
PBE MnCoRe2, optimized geometry; energy relative to the elements = 0.032 eV per atom; VASP energy = -41.0 eV/f.u.; energy relative to the lowest polymorph listed for this composition = 0.20 eV per formula unit
1.0
-1.8825 1.8825 3.6150
1.8825 -1.8825 3.6150
1.8825 1.8825 -3.6150
Mn Co Re
1 1 2
Cartesian
0.0000 0.0000 0.0000 Mn
0.0000 0.0000 3.6150 Co
1.8825 0.0000 1.8075 Re
0.0000 1.8825 1.8075 Re